# 1
Computed, not measured: an optimized crystal structure of NaPuPbAu at the PBE level of DFT.

a = 7.400 Å, b = 7.400 Å, c = 7.400 Å
α = 90.00°, β = 90.00°, γ = 90.00°
Space group F-43m (No. 216)
Inequivalent atoms, fractional coordinates:
Na (0.000, 0.000, 0.000) [4 per cell]
Pu (0.000, 0.000, 0.500) [4 per cell]
Pb (0.250, 0.250, 0.250) [4 per cell]
Au (0.250, 0.250, 0.750) [4 per cell]

Volume: 405.2 Å³/cell
VASP energy: -23.3 eV/f.u.
E above lowest polymorph: 89.7 meV/atom

# 2
Computed, not measured: an optimized crystal structure of Rb2NaPbAu at the PBE level of DFT.

a = 6.656 Å, b = 6.656 Å, c = 5.577 Å
α = 90.00°, β = 90.00°, γ = 90.00°
Space group P4/mmm (No. 123)
Inequivalent atoms, fractional coordinates:
Rb (0.000, 0.500, 0.000) [2 per cell]
Na (0.000, 0.000, 0.500) [1 per cell]
Pb (0.500, 0.500, 0.500) [1 per cell]
Au (0.500, 0.500, 0.000) [1 per cell]

Volume: 247.1 Å³/cell
VASP energy: -10.4 eV/f.u.

# 3
Computed, not measured: an optimized crystal structure of RbNa2PbAu at the PBE level of DFT.

a = 5.792 Å, b = 5.792 Å, c = 5.564 Å
α = 90.00°, β = 90.00°, γ = 90.00°
Space group P4/mmm (No. 123)
Inequivalent atoms, fractional coordinates:
Rb (0.000, 0.000, 0.000) [1 per cell]
Na (0.000, 0.500, 0.500) [2 per cell]
Pb (0.500, 0.500, 0.000) [1 per cell]
Au (0.500, 0.500, 0.500) [1 per cell]

Volume: 186.7 Å³/cell
VASP energy: -11.3 eV/f.u.
E above lowest polymorph: 0.0 meV/atom

# 4
Computed, not measured: an optimized crystal structure of Rb2Na6PbAu at the PBE level of DFT.

a = 12.032 Å, b = 12.032 Å, c = 12.032 Å
α = 90.00°, β = 90.00°, γ = 90.00°
Space group Fm-3m (No. 225)
Inequivalent atoms, fractional coordinates:
Rb (0.250, 0.250, 0.250) [8 per cell]
Na (0.000, 0.000, 0.241) [24 per cell]
Pb (0.000, 0.000, 0.500) [4 per cell]
Au (0.000, 0.000, 0.000) [4 per cell]

Volume: 1741.8 Å³/cell
VASP energy: -17.6 eV/f.u.

# 5
Computed, not measured: an optimized crystal structure of RbNa2PbAu at the PBE level of DFT.

a = 5.955 Å, b = 5.955 Å, c = 5.662 Å
α = 90.00°, β = 90.00°, γ = 90.00°
Space group P4/mmm (No. 123)
Inequivalent atoms, fractional coordinates:
Rb (0.000, 0.000, 0.000) [1 per cell]
Na (0.000, 0.500, 0.500) [2 per cell]
Pb (0.500, 0.500, 0.500) [1 per cell]
Au (0.500, 0.500, 0.000) [1 per cell]

Volume: 200.8 Å³/cell
VASP energy: -10.9 eV/f.u.
E above lowest polymorph: 81.7 meV/atom

# 6
Computed, not measured: an optimized crystal structure of NaSbPb2Au2 at the PBE level of DFT.

a = 5.800 Å, b = 5.800 Å, c = 11.444 Å
α = 90.00°, β = 90.00°, γ = 90.00°
Space group I4/mmm (No. 139)
Inequivalent atoms, fractional coordinates:
Na (0.000, 0.000, 0.000) [2 per cell]
Sb (0.000, 0.000, 0.500) [2 per cell]
Pb (0.000, 0.500, 0.250) [4 per cell]
Au (0.000, 0.000, 0.259) [4 per cell]

ΔE_f (raw): 75 meV per atom
Volume: 384.9 Å³/cell
VASP energy: -19.0 eV/f.u.

# 7
Computed, not measured: an optimized crystal structure of Na2Sb2PbAu2 at the PBE level of DFT.

a = 4.7743 Å, b = 4.7743 Å, c = 27.8248 Å
α = 90.00°, β = 90.00°, γ = 120.00°
Space group R-3m (No. 166, hexagonal axes)
Inequivalent atoms, fractional coordinates:
Na (0.0000, 0.0000, 0.1371) [6 per cell]
Sb (0.0000, 0.0000, 0.4097) [6 per cell]
Pb (0.0000, 0.0000, 0.0000) [3 per cell]
Au (0.0000, 0.0000, 0.2512) [6 per cell]

ΔE_f (raw): -249 meV per atom
Volume: 549.3 Å³/cell
VASP energy: -22.9 eV/f.u.

# 8
Computed, not measured: an optimized crystal structure of NaSb2Pb2Au2 at the PBE level of DFT.

a = 4.5973 Å, b = 4.5973 Å, c = 32.4506 Å
α = 90.00°, β = 90.00°, γ = 120.00°
Space group R-3m (No. 166, hexagonal axes)
Inequivalent atoms, fractional coordinates:
Na (0.0000, 0.0000, 0.0000) [3 per cell]
Sb (0.0000, 0.0000, 0.2739) [6 per cell]
Pb (0.0000, 0.0000, 0.1283) [6 per cell]
Au (0.0000, 0.0000, 0.4162) [6 per cell]

ΔE_f (raw): -149 meV per atom
Volume: 594.0 Å³/cell
VASP energy: -24.6 eV/f.u.

# 9
Computed, not measured: an optimized crystal structure of NaPbAuSe2 at the PBE level of DFT.

a = 7.345 Å, b = 4.934 Å, c = 7.976 Å
α = 90.00°, β = 101.29°, γ = 90.00°
Space group P2/c (No. 13)
Inequivalent atoms, fractional coordinates:
Na (0.000, 0.011, 0.250) [2 per cell]
Pb (0.500, 0.348, 0.750) [2 per cell]
Au (0.000, 0.500, 0.000) [2 per cell]
Se (0.282, 0.223, 0.046) [4 per cell]

ΔE_f (raw): -590 meV per atom
Volume: 283.5 Å³/cell
VASP energy: -18.2 eV/f.u.

# 10
Computed, not measured: an optimized crystal structure of NaSi2PbAu5 at the PBE level of DFT.

a = 4.618 Å, b = 4.618 Å, c = 10.340 Å
α = 90.00°, β = 90.00°, γ = 90.00°
Space group P4/mmm (No. 123)
Inequivalent atoms, fractional coordinates:
Na (0.000, 0.000, 0.000) [1 per cell]
Si (0.500, 0.500, 0.231) [2 per cell]
Pb (0.000, 0.000, 0.500) [1 per cell]
Au (0.000, 0.500, 0.307) [4 per cell]
Au (0.500, 0.500, 0.000) [1 per cell]

ΔE_f (raw): -93 meV per atom
Volume: 220.5 Å³/cell
VASP energy: -33.1 eV/f.u.

# 11
Computed, not measured: an optimized crystal structure of NaSmPbAu at the PBE level of DFT.

a = 7.416 Å, b = 7.416 Å, c = 7.416 Å
α = 90.00°, β = 90.00°, γ = 90.00°
Space group F-43m (No. 216)
Inequivalent atoms, fractional coordinates:
Na (0.000, 0.000, 0.000) [4 per cell]
Sm (0.000, 0.000, 0.500) [4 per cell]
Pb (0.250, 0.250, 0.250) [4 per cell]
Au (0.250, 0.250, 0.750) [4 per cell]

Volume: 407.9 Å³/cell
VASP energy: -14.8 eV/f.u.

# 12
Computed, not measured: an optimized crystal structure of NaSnPbAu at the PBE level of DFT.

a = 7.975 Å, b = 4.618 Å, c = 6.087 Å
α = 90.00°, β = 90.02°, γ = 90.00°
Space group Cm (No. 8)
Inequivalent atoms, fractional coordinates:
Na (0.000, 0.000, 0.000) [2 per cell]
Sn (0.332, 0.000, 0.617) [2 per cell]
Pb (0.165, 0.500, 0.311) [2 per cell]
Au (0.166, 0.500, 0.801) [2 per cell]

Volume: 224.2 Å³/cell
VASP energy: -12.7 eV/f.u.
E above lowest polymorph: 2.2 meV/atom